Computed, not measured: crystalline BaPaGe2S8 at its relaxed geometry at the PBE level of DFT.

Summary:
DOS(E_F) in states/eV/cell: 7.400
Formation energy from raw total energies in meV per atom: -842
Calculated total energy in eV per atom: -5.3148
ρ in kg/m3: 4095

abc: 6.3052 6.3052 9.0716
angles: 90.00 90.00 120.00
Atoms (fractional coordinates):
1 Ba 0.0000 0.0000 0.0000
2 Pa 0.0000 0.0000 0.5000
3 Ge 0.3333 0.6667 0.7501
4 Ge 0.6667 0.3333 0.2499
5 S 0.0085 0.6744 0.3186
6 S 0.3256 0.3341 0.3186
7 S 0.3333 0.6667 0.9929
8 S 0.3341 0.0085 0.6814
9 S 0.6659 0.9915 0.3186
10 S 0.6667 0.3333 0.0071
11 S 0.6744 0.6659 0.6814
12 S 0.9915 0.3256 0.6814